w:
RbBeI3 PBE-GGA relaxed; volume = 34.191 A^3/atom; magnetic moment = 0.00 μB/f.u.; space-group type = No. 221
1.0
5.5500 0.0000 0.0000
0.0000 5.5500 0.0000
0.0000 0.0000 5.5500
Rb Be I
1 1 3
Direct
0.0000 0.0000 0.0000 Rb
0.5000 0.5000 0.5000 Be
0.0000 0.5000 0.5000 I
0.5000 0.0000 0.5000 I
0.5000 0.5000 0.0000 I

***

x:
RbBeI3 PBE-GGA relaxed; volume = 69.211 A^3/atom; magnetic moment = 2.00 μB/f.u.; space-group type = No. 221
1.0
7.0207 0.0000 0.0000
0.0000 7.0207 0.0000
0.0000 0.0000 7.0207
Rb Be I
1 1 3
Direct
0.0000 0.0000 0.0000 Rb
0.5000 0.5000 0.5000 Be
0.0000 0.0000 0.5000 I
0.0000 0.5000 0.0000 I
0.5000 0.0000 0.0000 I

***

y:
RbBeI3 PBE-GGA relaxed; volume = 40.561 A^3/atom; magnetic moment = 0.00 μB/f.u.; space-group type = No. 139
1.0
-4.2367 4.2367 5.6493
4.2367 -4.2367 5.6493
4.2367 4.2367 -5.6493
Rb Be I
2 2 6
Direct
0.2500 0.7500 0.5000 Rb
0.7500 0.2500 0.5000 Rb
0.0000 0.0000 0.0000 Be
0.5000 0.5000 0.0000 Be
0.1975 0.1975 0.0000 I
0.2849 0.2849 0.5697 I
0.2849 0.7151 0.0000 I
0.7151 0.2849 0.0000 I
0.7151 0.7151 0.4303 I
0.8025 0.8025 0.0000 I

***

z:
RbBeI3 PBE-GGA relaxed; volume = 42.499 A^3/atom; magnetic moment = 0.00 μB/f.u.; space-group type = No. 1
1.0
6.3787 0.0000 0.0000
0.7923 8.2742 0.0000
0.7920 1.9172 8.0522
Rb Be I
2 2 6
Direct
0.0000 0.0000 0.0000 Rb
0.4664 0.3387 0.3385 Rb
0.2321 0.5135 0.8250 Be
0.2324 0.8238 0.5152 Be
0.0003 0.5019 0.0706 I
0.0011 0.0701 0.5023 I
0.0338 0.5735 0.5744 I
0.4313 0.7639 0.7653 I
0.4650 0.2682 0.8367 I
0.4646 0.8365 0.2692 I

***

In terms of stability, z leads; the second structure lies 24.1 kJ/mol of atoms higher.

***

w:
RbBeI2 PBE-GGA relaxed; volume = 35.927 A^3/atom; magnetic moment = 0.97 μB/f.u.; space-group type = No. 225
1.0
0.0000 4.1574 4.1574
4.1574 0.0000 4.1574
4.1574 4.1574 0.0000
Rb Be I
1 1 2
Direct
0.0000 0.0000 0.0000 Rb
0.5000 0.5000 0.5000 Be
0.2500 0.2500 0.2500 I
0.7500 0.7500 0.7500 I

***

x:
RbBeI2 PBE-GGA relaxed; volume = 46.926 A^3/atom; magnetic moment = 0.00 μB/f.u.; space-group type = No. 122
1.0
-3.6306 3.6306 7.1200
3.6306 -3.6306 7.1200
3.6306 3.6306 -7.1200
Rb Be I
2 2 4
Direct
0.0000 0.0000 0.0000 Rb
0.7500 0.2500 0.5000 Rb
0.2500 0.7500 0.5000 Be
0.5000 0.5000 0.0000 Be
0.2506 0.6250 0.1256 I
0.3750 0.5006 0.6256 I
0.4994 0.1250 0.8744 I
0.8750 0.7494 0.3744 I

***

In terms of stability, x leads; the second structure lies 33.6 kJ/mol of atoms higher.

***

w:
RbBeSbI2 PBE-GGA relaxed; volume = 34.184 A^3/atom; magnetic moment = 0.00 μB/f.u.; space-group type = No. 123
1.0
6.0238 0.0000 0.0000
0.0000 6.0238 0.0000
0.0000 0.0000 4.7103
Rb Be Sb I
1 1 1 2
Direct
0.0000 0.0000 0.0000 Rb
0.5000 0.5000 0.5000 Be
0.5000 0.5000 0.0000 Sb
0.0000 0.5000 0.5000 I
0.5000 0.0000 0.5000 I

***

x:
RbBeSbI2 PBE-GGA relaxed; volume = 73.387 A^3/atom; magnetic moment = 3.34 μB/f.u.; space-group type = No. 123
1.0
6.9061 0.0000 0.0000
0.0000 6.9061 0.0000
0.0000 0.0000 7.6935
Rb Be Sb I
1 1 1 2
Direct
0.0000 0.0000 0.0000 Rb
0.5000 0.5000 0.5000 Be
0.0000 0.0000 0.5000 Sb
0.0000 0.5000 0.0000 I
0.5000 0.0000 0.0000 I

***

In terms of stability, w leads; the second structure lies 109.9 kJ/mol of atoms higher.

***

w:
RbBeTe2I PBE-GGA relaxed; volume = 36.089 A^3/atom; magnetic moment = 0.00 μB/f.u.; space-group type = No. 123
1.0
4.9554 0.0000 0.0000
0.0000 4.9554 0.0000
0.0000 0.0000 7.3484
Rb Be Te I
1 1 2 1
Direct
0.0000 0.0000 0.0000 Rb
0.5000 0.5000 0.5000 Be
0.0000 0.5000 0.5000 Te
0.5000 0.0000 0.5000 Te
0.5000 0.5000 0.0000 I

***

x:
RbBeTe2I PBE-GGA relaxed; volume = 69.344 A^3/atom; magnetic moment = 4.03 μB/f.u.; space-group type = No. 123
1.0
7.1167 0.0000 0.0000
0.0000 7.1167 0.0000
0.0000 0.0000 6.8457
Rb Be Te I
1 1 2 1
Direct
0.0000 0.0000 0.0000 Rb
0.5000 0.5000 0.5000 Be
0.0000 0.5000 0.0000 Te
0.5000 0.0000 0.0000 Te
0.0000 0.0000 0.5000 I

***

In terms of stability, w leads; the second structure lies 130.9 kJ/mol of atoms higher.